Entry 1:
This record from Alexandria describes a relaxed Sn2SF2 crystal. The functional is PBE.

Output
crystal system	monoclinic
formation energy (no corrections)	-1442	meV/atom
symmetry	C2/m

Cell: 4.1354 4.1353 6.4937 Å, 104.78 104.78 85.21°
Element x y z (fractional)
Sn: 0.7331 0.7331 0.2467
Sn: 0.2669 0.2669 0.7533
F: 0.7673 0.2327 0.5000
F: 0.2327 0.7673 0.5000
S: 0.0000 0.0000 0.0000

Entry 2:
This record from Alexandria describes a relaxed PrIn2Ni2Ge crystal. The functional is PBE.

Output
crystal system	tetragonal
formation enthalpy at 0 K	-1.9	eV per formula unit
symmetry	P4/mmm
N(E_F)	3.79	states/eV/f.u.

Cell: 4.5114 4.5114 5.9895 Å, 90.00 90.00 90.00°
Element x y z (fractional)
In: 0.5000 0.5000 0.2592
In: 0.5000 0.5000 0.7408
Ni: 0.0000 0.5000 0.0000
Ni: 0.5000 0.0000 0.0000
Ge: 0.0000 0.0000 0.0000
Pr: 0.0000 0.0000 0.5000

Entry 3:
This record from Alexandria describes a relaxed Np2UP2 crystal. The functional is PBE.

Output
crystal system	orthorhombic
formation enthalpy at 0 K	-2.6	eV per formula unit
symmetry	Immm
N(E_F)	10.78	states/eV/f.u.

Cell: 3.7204 5.3660 5.3661 Å, 82.13 69.72 69.72°
Element x y z (fractional)
P: 0.7087 0.7913 0.2913
P: 0.2913 0.2087 0.7087
U: 0.5000 0.5000 0.0000
Np: 0.0000 0.2218 0.2782
Np: 0.0000 0.7782 0.7218

Entry 4:
This record from Alexandria describes a relaxed BaAcAlGe crystal. The functional is PBE.

Output
crystal system	cubic
formation enthalpy at 0 K	-0.9	eV per formula unit
symmetry	F-43m
N(E_F)	3.13	states/eV/f.u.

Cell: 5.6642 5.6642 5.6642 Å, 60.00 60.00 60.00°
Element x y z (fractional)
Ba: 0.0000 0.0000 0.0000
Al: 0.2500 0.2500 0.2500
Ac: 0.5000 0.5000 0.5000
Ge: 0.7500 0.7500 0.7500

Entry 5:
This record from Alexandria describes a relaxed Na4GePb crystal. The functional is PBE.

Output
crystal system	monoclinic
formation enthalpy at 0 K	-0.6	eV per formula unit
symmetry	C2/m
N(E_F)	2.52	states/eV/f.u.

Cell: 5.3915 5.7440 12.3365 Å, 84.19 77.55 62.01°
Element x y z (fractional)
Na: 0.5288 0.6690 0.2716
Na: 0.3387 0.3227 0.0000
Na: 0.6613 0.6773 0.0000
Na: 0.8022 0.6690 0.7284
Na: 0.7958 0.0000 0.4081
Na: 0.2042 0.0000 0.5919
Na: 0.1978 0.3310 0.2716
Na: 0.4712 0.3310 0.7284
Ge: 0.2503 0.4995 0.5000
Ge: 0.7497 0.5005 0.5000
Pb: 0.0637 0.0000 0.8699
Pb: 0.9363 0.0000 0.1301

Entry 6:
This record from Alexandria describes a relaxed Ho3AlNi8 crystal. The functional is PBE.

Output
ΔE to the lowest computed polymorph	6	meV/atom
crystal system	trigonal
formation enthalpy at 0 K	-5.5	eV per formula unit
symmetry	R3m
N(E_F)	9.80	states/eV/f.u.

Cell: 4.9699 4.9699 8.6290 Å, 73.26 73.26 60.00°
Element x y z (fractional)
Ni: 0.4357 0.4357 0.1906
Ni: 0.9382 0.9382 0.6809
Ni: 0.4426 0.9382 0.6809
Ni: 0.4357 0.9379 0.1906
Ni: 0.9382 0.4426 0.6809
Ni: 0.1885 0.1885 0.4344
Ni: 0.9379 0.4357 0.1906
Ni: 0.6883 0.6883 0.9350
Ho: 0.9931 0.9931 0.0207
Ho: 0.5048 0.5048 0.4855
Ho: 0.3768 0.3768 0.8696
Al: 0.8699 0.8699 0.3902

Entry 7:
This record from Alexandria describes a relaxed Ti2InCoC crystal. The functional is PBE.

Output
crystal system	tetragonal
formation enthalpy at 0 K	-1.6	eV per formula unit
symmetry	P4/mmm
N(E_F)	3.97	states/eV/f.u.

Cell: 4.2370 4.2370 3.9013 Å, 90.00 90.00 90.00°
Element x y z (fractional)
Ti: 0.5000 0.0000 0.0000
Ti: 0.0000 0.5000 0.0000
C: 0.0000 0.0000 0.0000
In: 0.5000 0.5000 0.5000
Co: 0.0000 0.0000 0.5000

Entry 8:
This record from Alexandria describes a relaxed La2Cu2Sb crystal. The functional is PBE.

Output
ΔE to the lowest computed polymorph	0	meV/atom
crystal system	tetragonal
formation energy (no corrections)	-525	meV/atom
symmetry	P4/mbm
N(E_F)	4.03	states/eV/f.u.

Cell: 7.5336 7.5336 4.2605 Å, 90.00 90.00 90.00°
Element x y z (fractional)
La: 0.3214 0.1786 0.5000
La: 0.8214 0.3214 0.5000
La: 0.6786 0.8214 0.5000
La: 0.1786 0.6786 0.5000
Cu: 0.1160 0.3840 0.0000
Cu: 0.8840 0.6160 0.0000
Cu: 0.6160 0.1160 0.0000
Cu: 0.3840 0.8840 0.0000
Sb: 0.0000 0.0000 0.0000
Sb: 0.5000 0.5000 0.0000